A crystal of LiY2O2 relaxed with PBEsol, computed with meta-GGA SCAN.

**Total magnetization**: 0.000 μB per atom
**Formation energy from raw total energies**: -2.58 eV/atom

```
data_LiY2O2
_chemical_formula_sum 'Li2 Y4 O4'
_symmetry_space_group_name_H-M 'P 1'
_symmetry_Int_Tables_number 1
_symmetry_space_group_name_Hall 'P 1'
_cell_length_a 3.970
_cell_length_b 3.970
_cell_length_c 11.725
_cell_angle_alpha 90.00
_cell_angle_beta 90.00
_cell_angle_gamma 90.00
loop_
_atom_site_label
_atom_site_type_symbol
_atom_site_fract_x
_atom_site_fract_y
_atom_site_fract_z
Li1 Li 0.000 0.000 0.000
Li2 Li 0.500 0.500 0.500
Y1 Y 0.000 0.000 0.337
Y2 Y 0.000 0.000 0.663
Y3 Y 0.500 0.500 0.163
Y4 Y 0.500 0.500 0.837
O1 O 0.000 0.500 0.250
O2 O 0.000 0.500 0.750
O3 O 0.500 0.000 0.250
O4 O 0.500 0.000 0.750
```